[1]
10
Lattice="4.630 0.000 0.000 0.000 4.630 0.000 0.000 0.000 11.346" Properties=species:S:1:pos:R:3 comment="Ac2Mg3CdGa4, relaxed, DFT PBE" final_energy_ev_per_cell=-29.87 delta_e_f_mev_per_atom=-385 dos_ef_per_ev_fu=3.1 spacegroup="No. 115" pbc="T T T"
Ac 0.000 2.315 8.581
Ac 2.315 0.000 2.765
Mg 0.000 2.315 1.428
Mg 2.315 0.000 9.918
Mg 0.000 0.000 5.673
Ga 0.000 2.315 4.083
Ga 2.315 0.000 7.263
Ga 0.000 0.000 0.000
Cd 2.315 2.315 5.673
Ga 2.315 2.315 0.000

=====

[2]
5
Lattice="6.298 0.000 0.000 0.000 4.659 0.000 0.000 0.000 6.298" Properties=species:S:1:pos:R:3 comment="Ba2ScBeGe, relaxed, DFT PBE" final_energy_ev_per_cell=-14.17 delta_e_f_mev_per_atom=869 dos_ef_per_ev_fu=6.1 spacegroup="No. 123" pbc="T T T"
Ba 0.000 0.000 3.149
Ge 3.149 2.329 3.149
Sc 0.000 0.000 0.000
Be 0.000 2.329 0.000
Ba 3.149 0.000 0.000

=====

[3]
4
Lattice="-3.123 -2.463 2.958 1.644 -3.802 2.722 0.372 0.453 4.922" Properties=species:S:1:pos:R:3 comment="CeThNiIr, relaxed, DFT PBE" final_energy_ev_per_cell=-29.96 delta_e_f_mev_per_atom=-491 dos_ef_per_ev_fu=7.8 spacegroup="No. 216" pbc="T T T"
Ce -0.277 -1.453 2.651
Th -0.830 -4.359 7.952
Ni -0.554 -2.906 5.301
Ir 0.000 0.000 0.000

=====

[4]
18
Lattice="0.811 -6.477 -5.472 -0.161 -2.740 8.063 -7.342 4.211 -0.950" Properties=species:S:1:pos:R:3 comment="Y6SnRu2, relaxed, DFT PBE" final_energy_ev_per_cell=-130.66 delta_e_f_mev_per_atom=-443 dos_ef_per_ev_fu=8.0 spacegroup="No. 71" pbc="T T T"
Y -1.123 -4.233 -4.297
Ru -2.481 -4.058 3.956
Ru -4.212 -0.947 -2.314
Ru 0.212 -3.008 0.846
Y -4.548 -3.301 -4.114
Y -1.747 -2.330 -1.361
Y -5.571 -0.772 5.939
Y -2.146 -1.704 5.756
Y -4.946 -2.676 3.003
Y -4.522 -0.224 0.337
Sn 0.000 0.000 0.000
Y 0.380 -5.282 -1.113
Ru 0.437 -6.209 1.746
Y -2.171 -4.781 1.305
Y -1.667 -1.538 2.238
Sn -3.752 0.736 3.557
Y -5.026 -3.467 -0.596
Y -7.073 0.276 2.755

=====

[5]
6
Lattice="-3.717 -0.412 -2.755 -1.421 -5.571 2.750 -1.071 6.208 4.432" Properties=species:S:1:pos:R:3 comment="Th3Te2Pb, relaxed, DFT PBE" final_energy_ev_per_cell=-36.90 raw_formation_energy_mev_per_atom=-775.5 dos_ef_per_ev_fu=6.0 spacegroup="No. 12" pbc="T T T"
Te -4.463 -3.912 0.733
Th -2.487 1.375 5.107
Th -3.722 -1.151 -0.680
Pb -3.105 0.112 2.213
Te -1.746 4.137 3.694
Th -2.394 2.898 0.838

=====

[6]
10
Lattice="-0.969 -2.423 2.373 1.275 -2.547 -2.080 15.739 1.432 7.893" Properties=species:S:1:pos:R:3 comment="Er5Ga4Pd, relaxed, DFT PBE" final_energy_ev_per_cell=-46.62 delta_e_f_mev_per_atom=-650 dos_ef_per_ev_fu=4.2 spacegroup="No. 123" pbc="T T T"
Er 8.022 -1.769 4.093
Pd 0.000 0.000 0.000
Er 1.660 -2.348 0.902
Er 4.846 -2.058 2.500
Ga 12.614 1.148 6.326
Er 14.385 -1.190 7.283
Ga 9.443 0.859 4.736
Ga 3.125 0.284 1.567
Ga 6.296 0.573 3.157
Er 11.198 -1.480 5.685